(1)
Below is a relaxed structure of Pm3PrNd2Bi6, with properties calculated at the PBE level.

Cell lengths 20.040, 4.601, 9.196 Å; angles 90.00, 103.22, 90.00 degrees
Space group C2/m (No. 12)
Asymmetric unit:
Pm1 0.000 0.000 0.000 x2
Pm2 0.166 0.500 0.333 x4
Pr1 0.000 0.000 0.500 x2
Nd1 0.167 0.500 0.833 x4
Bi1 0.000 0.500 0.248 x4
Bi2 0.166 0.000 0.084 x4
Bi3 0.168 0.000 0.582 x4


(2)
Below is a relaxed structure of PmPr2NdBi5, with properties calculated at the PBE level.

Cell lengths 5.565, 5.565, 12.135 Å; angles 90.00, 90.00, 90.00 degrees
Space group P4/mmm (No. 123)
Asymmetric unit:
Pm1 0.000 0.000 0.000 x1
Pr1 0.500 0.500 0.274 x2
Nd1 0.000 0.000 0.500 x1
Bi1 0.000 0.000 0.246 x2
Bi2 0.000 0.500 0.500 x2
Bi3 0.500 0.500 0.000 x1


(3)
Below is a relaxed structure of Pm3Pr2NdBi6, with properties calculated at the PBE level.

Cell lengths 20.063, 4.606, 9.207 Å; angles 90.00, 103.22, 90.00 degrees
Space group C2/m (No. 12)
Asymmetric unit:
Pm1 0.000 0.000 0.000 x2
Pm2 0.167 0.500 0.333 x4
Pr1 0.166 0.500 0.833 x4
Nd1 0.000 0.000 0.500 x2
Bi1 0.001 0.500 0.249 x4
Bi2 0.166 0.000 0.085 x4
Bi3 0.167 0.000 0.581 x4


(4)
Below is a relaxed structure of Pm2PrNdBi4, with properties calculated at the PBE level.

Cell lengths 7.970, 4.604, 7.971 Å; angles 90.00, 109.46, 90.00 degrees
Space group P2/m (No. 10)
Asymmetric unit:
Pm1 0.000 0.000 0.000 x1
Pm2 0.000 0.500 0.500 x1
Pr1 0.500 0.000 0.500 x1
Nd1 0.500 0.500 0.000 x1
Bi1 0.247 0.000 0.750 x2
Bi2 0.247 0.500 0.248 x2


(5)
Below is a relaxed structure of Pm2NdPuBi4, with properties calculated at the PBE level.

Cell lengths 7.926, 4.581, 7.927 Å; angles 90.00, 109.44, 90.00 degrees
Space group P2/m (No. 10)
Asymmetric unit:
Pm1 0.000 0.000 0.000 x1
Pm2 0.500 0.500 0.000 x1
Nd1 0.000 0.500 0.500 x1
Pu1 0.500 0.000 0.500 x1
Bi1 0.253 0.000 0.750 x2
Bi2 0.253 0.500 0.252 x2


(6)
Below is a relaxed structure of PmNdPu2Bi4, with properties calculated at the PBE level.

Cell lengths 7.891, 4.571, 7.929 Å; angles 90.00, 109.36, 90.00 degrees
Space group P2/m (No. 10)
Asymmetric unit:
Pm1 0.000 0.000 0.000 x1
Nd1 0.000 0.500 0.500 x1
Pu1 0.500 0.000 0.500 x1
Pu2 0.500 0.500 0.000 x1
Bi1 0.255 0.000 0.753 x2
Bi2 0.255 0.500 0.251 x2


Formation energy? In order: -947, -71, -949, -948, -783, -620 meV/atom.
Calculated volume? In order: 34.393, 41.758, 34.513, 34.471, 33.928, 33.729 Å³/atom.
Total magnetic moment? In order: 0.00, 0.00, 0.00, 0.00, 5.12, 0.01 μB per formula unit.